Density functional theory data (PBE) for CoReOs after structural relaxation.

Cell: 4.1645 4.1645 2.6873 Å, 90.00 90.00 120.00°
Space group P-6m2 (No. 187)
One atom of each set of equivalent atoms:
Co: 0.0000 0.0000 0.0000 [1 per cell]
Re: 0.6667 0.3333 0.0000 [1 per cell]
Os: 0.3333 0.6667 0.5000 [1 per cell]

=====

Density functional theory data (PBE) for Co2ReOs after structural relaxation.

Cell: 8.636 2.623 4.516 Å, 90.00 99.21 90.00°
Space group Cm (No. 8)
One atom of each set of equivalent atoms:
Co: 0.000 0.000 0.000 [2 per cell]
Co: 0.246 0.000 0.754 [2 per cell]
Re: 0.000 0.500 0.516 [2 per cell]
Os: 0.244 0.500 0.235 [2 per cell]

=====

| no. | calculated total energy (eV/cell) | energy above the lowest structure with this stoichiometry (meV per atom) | E_form (eV/atom) |
| --- | --- | --- | --- |
| 1 | -30.4 | 65.1 | 0.13 |
| 2 | -74.9 | 67.6 | 0.10 |